(1)
KMgInMo3O12 | the Alexandria database | PBE with a Hubbard U | relaxed; space group = C2 (5)
1.0
8.364 -4.829 0.000
8.364 4.829 0.000
-5.576 0.000 8.285
K Mg In Mo O
2 2 2 6 24
Direct
0.247 0.247 0.242 K
0.753 0.753 0.758 K
0.106 0.106 0.817 Mg
0.894 0.894 0.183 Mg
0.392 0.393 0.678 In
0.607 0.608 0.322 In
0.000 0.281 0.500 Mo
0.211 0.789 0.000 Mo
0.281 0.719 0.500 Mo
0.500 0.211 0.000 Mo
0.719 0.000 0.500 Mo
0.789 0.500 0.000 Mo
0.027 0.821 0.028 O
0.040 0.246 0.676 O
0.110 0.755 0.325 O
0.179 0.973 0.972 O
0.181 0.305 0.513 O
0.241 0.607 0.824 O
0.245 0.890 0.675 O
0.305 0.526 0.513 O
0.320 0.179 0.972 O
0.393 0.759 0.176 O
0.474 0.695 0.487 O
0.476 0.241 0.825 O
0.524 0.393 0.176 O
0.526 0.181 0.513 O
0.607 0.476 0.824 O
0.680 0.027 0.028 O
0.695 0.819 0.487 O
0.754 0.960 0.324 O
0.759 0.524 0.175 O
0.819 0.474 0.487 O
0.821 0.680 0.028 O
0.890 0.040 0.674 O
0.960 0.110 0.326 O
0.973 0.320 0.972 O


(2)
KMgInMo3O12 | the Alexandria database | PBE with a Hubbard U | relaxed; space group = R3c (161)
1.0
4.833 2.790 8.296
-4.833 2.790 8.296
0.000 -5.581 8.296
K Mg In Mo O
2 2 2 6 24
Direct
0.000 0.000 0.000 K
0.500 0.500 0.500 K
0.357 0.357 0.357 Mg
0.857 0.857 0.857 Mg
0.144 0.144 0.144 In
0.644 0.644 0.644 In
0.040 0.469 0.746 Mo
0.246 0.969 0.540 Mo
0.469 0.746 0.040 Mo
0.540 0.246 0.969 Mo
0.746 0.040 0.469 Mo
0.969 0.540 0.246 Mo
0.003 0.645 0.780 O
0.063 0.945 0.724 O
0.073 0.276 0.924 O
0.145 0.503 0.280 O
0.217 0.997 0.363 O
0.224 0.445 0.563 O
0.276 0.924 0.073 O
0.280 0.145 0.503 O
0.363 0.217 0.997 O
0.424 0.776 0.573 O
0.445 0.563 0.224 O
0.497 0.717 0.863 O
0.503 0.280 0.145 O
0.563 0.224 0.445 O
0.573 0.424 0.776 O
0.645 0.780 0.003 O
0.717 0.863 0.497 O
0.724 0.063 0.945 O
0.776 0.573 0.424 O
0.780 0.003 0.645 O
0.863 0.497 0.717 O
0.924 0.073 0.276 O
0.945 0.724 0.063 O
0.997 0.363 0.217 O


| no. | N(E_F) (states/eV/cell) | DFT total energy (eV per formula unit) |
| --- | --- | --- |
| 1 | 0.0 | -119.19 |
| 2 | 0.0 | -119.16 |